Entry 1:
Crystalline TbCdAgPb at its relaxed geometry. Source: Alexandria via LeMat-Bulk, functional PBE-GGA.

Computed properties:
- energy of formation from the pure elements (eV/atom) = -0.217

a = 5.164 Å, b = 5.164 Å, c = 5.164 Å
α = 60.00°, β = 60.00°, γ = 60.00°
Positions (direct):
Tb: 0.000 0.000 0.000
Cd: 0.500 0.500 0.500
Ag: 0.250 0.250 0.250
Pb: 0.750 0.750 0.750

Entry 2:
Crystalline YCdAgPb at its relaxed geometry. Source: Alexandria via LeMat-Bulk, functional PBE-GGA.

Computed properties:
- energy of formation from the pure elements (eV/atom) = -0.293

a = 4.445 Å, b = 4.508 Å, c = 4.849 Å
α = 90.00°, β = 90.00°, γ = 90.00°
Positions (direct):
Y: 0.000 0.000 0.000
Cd: 0.000 0.500 0.500
Ag: 0.500 0.000 0.500
Pb: 0.500 0.500 0.000

Entry 3:
Crystalline YCdAgPb at its relaxed geometry. Source: Alexandria via LeMat-Bulk, functional PBE-GGA.

Computed properties:
- energy of formation from the pure elements (eV/atom) = -0.214

a = 5.165 Å, b = 5.165 Å, c = 5.165 Å
α = 60.00°, β = 60.00°, γ = 60.00°
Positions (direct):
Y: 0.000 0.000 0.000
Cd: 0.500 0.500 0.500
Ag: 0.250 0.250 0.250
Pb: 0.750 0.750 0.750

Entry 4:
Crystalline ZrCdAgPb at its relaxed geometry. Source: Alexandria via LeMat-Bulk, functional PBE-GGA.

Computed properties:
- energy of formation from the pure elements (eV/atom) = -0.097

a = 4.271 Å, b = 4.354 Å, c = 4.709 Å
α = 90.00°, β = 90.00°, γ = 90.00°
Positions (direct):
Zr: 0.000 0.000 0.000
Cd: 0.500 0.000 0.500
Ag: 0.000 0.500 0.500
Pb: 0.500 0.500 0.000

Entry 5:
Crystalline Cd2Ag3Pd8 at its relaxed geometry. Source: Alexandria via LeMat-Bulk, functional PBE-GGA.

Computed properties:
- energy of formation from the pure elements (eV/atom) = 0.061

a = 10.544 Å, b = 10.544 Å, c = 10.544 Å
α = 28.53°, β = 28.53°, γ = 28.53°
Positions (direct):
Cd: 0.140 0.140 0.140
Cd: 0.860 0.860 0.860
Ag: 0.318 0.318 0.318
Ag: 0.500 0.500 0.500
Ag: 0.682 0.682 0.682
Pd: 0.227 0.227 0.227
Pd: 0.231 0.231 0.729
Pd: 0.231 0.729 0.231
Pd: 0.271 0.769 0.769
Pd: 0.729 0.231 0.231
Pd: 0.769 0.271 0.769
Pd: 0.769 0.769 0.271
Pd: 0.773 0.773 0.773

Entry 6:
Crystalline CdAg2Pd2 at its relaxed geometry. Source: Alexandria via LeMat-Bulk, functional PBE-GGA.

Computed properties:
- energy of formation from the pure elements (eV/atom) = -0.034

a = 5.167 Å, b = 5.167 Å, c = 5.167 Å
α = 130.87°, β = 109.54°, γ = 90.65°
Positions (direct):
Cd: 0.000 0.000 0.000
Ag: 0.307 0.807 0.500
Ag: 0.693 0.193 0.500
Pd: 0.276 0.500 0.776
Pd: 0.724 0.500 0.224

Entry 7:
Crystalline CdAg3Pd4 at its relaxed geometry. Source: Alexandria via LeMat-Bulk, functional PBE-GGA.

Computed properties:
- energy of formation from the pure elements (eV/atom) = 0.099

a = 5.838 Å, b = 5.838 Å, c = 5.838 Å
α = 123.56°, β = 95.87°, γ = 110.18°
Positions (direct):
Cd: 0.000 0.000 0.000
Ag: 0.467 0.660 0.807
Ag: 0.853 0.660 0.193
Ag: 0.984 0.484 0.500
Pd: 0.359 0.108 0.749
Pd: 0.359 0.609 0.251
Pd: 0.461 0.147 0.313
Pd: 0.834 0.147 0.687

Entry 8:
Crystalline CdAg3Pd at its relaxed geometry. Source: Alexandria via LeMat-Bulk, functional PBE-GGA.

Computed properties:
- energy of formation from the pure elements (eV/atom) = -0.026

a = 4.319 Å, b = 5.767 Å, c = 7.579 Å
α = 90.00°, β = 106.21°, γ = 90.00°
Positions (direct):
Cd: 0.192 0.250 0.383
Cd: 0.808 0.750 0.617
Ag: 0.190 0.750 0.378
Ag: 0.401 0.002 0.804
Ag: 0.401 0.498 0.804
Ag: 0.599 0.502 0.196
Ag: 0.599 0.998 0.196
Ag: 0.810 0.250 0.622
Pd: 0.002 0.250 0.003
Pd: 0.998 0.750 0.997